LaCdBr2 | PBE-GGA | optimized geometry

Values from the calculation:
DOS at the Fermi energy ... 1.5 states/eV/f.u.
Total DFT energy (no corrections) ... -13.27 eV/cell
Raw formation energy ... -393 kJ/mol of formula units
ΔE to the lowest computed polymorph ... 0.72 eV/f.u.

a = 4.187 Å, b = 4.713 Å, c = 7.196 Å
α = 90.00°, β = 105.41°, γ = 90.00°
Space group P2/m (No. 10)
Symmetry-distinct sites (fractional):
La1 0.000 0.000 0.000
Cd1 0.500 0.000 0.500
Br1 0.136 0.500 0.773

***

LaCdBr | PBE-GGA | optimized geometry

Values from the calculation:
DOS at the Fermi energy ... 2.4 states/eV/f.u.
Total DFT energy (no corrections) ... -36.64 eV/cell
Raw formation energy ... -159 kJ/mol of formula units
ΔE to the lowest computed polymorph ... 1.31 eV/f.u.

a = 7.230 Å, b = 7.230 Å, c = 7.230 Å
α = 90.00°, β = 90.00°, γ = 90.00°
Space group F-43m (No. 216)
Symmetry-distinct sites (fractional):
La1 0.000 0.000 0.000
Cd1 0.000 0.000 0.500
Br1 0.250 0.250 0.750

***

LaCdBr2 | PBE-GGA | optimized geometry

Values from the calculation:
DOS at the Fermi energy ... 2.8 states/eV/f.u.
Total DFT energy (no corrections) ... -27.19 eV/cell
Raw formation energy ... -425 kJ/mol of formula units
ΔE to the lowest computed polymorph ... 0.39 eV/f.u.

a = 4.004 Å, b = 5.768 Å, c = 13.577 Å
α = 90.00°, β = 90.00°, γ = 90.00°
Space group Immm (No. 71)
Symmetry-distinct sites (fractional):
La1 0.000 0.000 0.000
Cd1 0.000 0.000 0.500
Br1 0.000 0.500 0.337

***

La3CdBr3 | PBE-GGA | optimized geometry

Values from the calculation:
DOS at the Fermi energy ... 3.4 states/eV/f.u.
Total DFT energy (no corrections) ... -29.33 eV/cell
Raw formation energy ... -831 kJ/mol of formula units

a = 6.241 Å, b = 6.241 Å, c = 6.241 Å
α = 90.00°, β = 90.00°, γ = 90.00°
Space group Pm-3m (No. 221)
Symmetry-distinct sites (fractional):
La1 0.000 0.000 0.500
Cd1 0.000 0.000 0.000
Br1 0.000 0.500 0.500

***

La2Cd2Br | PBE-GGA | optimized geometry

Values from the calculation:
DOS at the Fermi energy ... 8.0 states/eV/f.u.
Total DFT energy (no corrections) ... -32.59 eV/cell
Raw formation energy ... -283 kJ/mol of formula units
ΔE to the lowest computed polymorph ... 0.00 eV/f.u.

a = 8.038 Å, b = 8.038 Å, c = 5.067 Å
α = 90.00°, β = 90.00°, γ = 90.00°
Space group P4/mbm (No. 127)
Symmetry-distinct sites (fractional):
La1 0.158 0.342 0.000
Cd1 0.134 0.634 0.500
Br1 0.000 0.000 0.000

***

La2CdBr | PBE-GGA | optimized geometry

Values from the calculation:
DOS at the Fermi energy ... 4.4 states/eV/f.u.
Total DFT energy (no corrections) ... -30.69 eV/cell
Raw formation energy ... -280 kJ/mol of formula units
ΔE to the lowest computed polymorph ... 0.14 eV/f.u.

a = 7.737 Å, b = 4.448 Å, c = 7.851 Å
α = 90.00°, β = 108.98°, γ = 90.00°
Space group C2/m (No. 12)
Symmetry-distinct sites (fractional):
La1 0.245 0.000 0.234
Cd1 0.000 0.000 0.500
Br1 0.000 0.500 0.000

***

La4CdBr | PBE-GGA | optimized geometry

Values from the calculation:
DOS at the Fermi energy ... 10.4 states/eV/f.u.
Total DFT energy (no corrections) ... -87.07 eV/cell
Raw formation energy ... 51 kJ/mol of formula units

a = 9.284 Å, b = 9.284 Å, c = 9.284 Å
α = 90.00°, β = 90.00°, γ = 90.00°
Space group F-43m (No. 216)
Symmetry-distinct sites (fractional):
La1 0.122 0.122 0.378
Cd1 0.250 0.250 0.750
Br1 0.000 0.000 0.000

***

La2CdBr | PBE-GGA | optimized geometry

Values from the calculation:
DOS at the Fermi energy ... 6.7 states/eV/f.u.
Total DFT energy (no corrections) ... -54.57 eV/cell
Raw formation energy ... -116 kJ/mol of formula units
ΔE to the lowest computed polymorph ... 1.84 eV/f.u.

a = 5.767 Å, b = 5.767 Å, c = 18.394 Å
α = 90.00°, β = 90.00°, γ = 90.00°
Space group I-42d (No. 122)
Symmetry-distinct sites (fractional):
La1 0.226 0.250 0.125
Cd1 0.000 0.000 0.500
Br1 0.000 0.000 0.000